{
  "formula": "Cs2TlVF6",
  "functional": "PBE+U",
  "state": "optimized geometry",
  "lattice": [[6.6463, 0.0000, 0.0000], [3.3231, 5.7559, 0.0000], [3.3231, 1.9186, 5.4267]],
  "species": ["Cs", "Cs", "Tl", "V", "F", "F", "F", "F", "F", "F"],
  "frac_coords": [[0.7500, 0.7500, 0.7500], [0.2500, 0.2500, 0.2500], [0.5000, 0.5000, 0.5000], [0.0000, 0.0000, 0.0000], [0.7885, 0.2115, 0.7885], [0.2115, 0.2115, 0.7885], [0.7885, 0.7885, 0.2115], [0.7885, 0.2115, 0.2115], [0.2115, 0.7885, 0.2115], [0.2115, 0.7885, 0.7885]],
  "total_magnetization_mub_per_cell": 2.000,
  "energy_ev_per_atom": -4.893,
  "vol_a3_per_atom": 20.76,
  "spacegroup": "Fm-3m, No. 225"
}